Compound: BeTeS2N
Source: the Alexandria database
Functional: PBEsol
Structure: optimized geometry

Summary:
The electronic total energy is -18.69 eV/f.u. The formation energy without anion corrections comes out at 1.226 eV/atom.

a = 4.9943 Å, b = 4.9943 Å, c = 3.8349 Å
α = 90.00°, β = 90.00°, γ = 90.00°
Closest atoms and distances in Å follow each position.
Fractional coordinates of all 5 atoms:
Be (0.0000, 0.0000, 0.0000)  8 S 3.15
Te (0.5000, 0.5000, 0.5000)  2 N 1.92
S (0.0000, 0.5000, 0.5000)  2 Te 2.50
S (0.5000, 0.0000, 0.5000)  2 Te 2.50
N (0.5000, 0.5000, 0.0000)  2 Te 1.92